# 1
Material: LiLuNiGe
Method: DFT, PBE
State: relaxed

Output
* energy relative to the elements: -0.567 eV/atom
* total moment: 0.000 μB per atom
* crystal system: cubic

The structure in POSCAR format:
```
LiLuNiGe
1.0
4.3957 0.0000 0.0000
2.1979 3.8068 0.0000
2.1979 1.2689 3.5891
Ni Ge Lu Li
1 1 1 1
Direct
0.0000 0.0000 0.0000
0.2500 0.2500 0.2500
0.7500 0.7500 0.7500
0.5000 0.5000 0.5000
```



# 2
Material: PrY2Co6
Method: DFT, PBE
State: relaxed

Output
* energy relative to the elements: -0.127 eV/atom
* total moment: 0.494 μB per atom
* crystal system: hexagonal

The structure in POSCAR format:
```
PrY2Co6
1.0
-2.7212 -2.9316 1.0290
4.0757 -4.6747 -2.5402
0.5323 1.7674 6.4428
Pr Y Co
1 2 6
Direct
0.0000 0.0000 0.0000
0.0000 0.3333 0.6667
0.0000 0.6667 0.3333
0.5000 0.3354 0.3354
0.5000 0.6646 0.6646
0.5000 0.0000 0.6646
0.5000 0.6646 0.0000
0.5000 0.3354 0.0000
0.5000 0.0000 0.3354
```



# 3
Material: Sr2ThSb3Pt4
Method: DFT, PBE
State: relaxed

Output
* total moment: 0.000 μB per atom
* energy relative to the elements, uncorrected: -8.60 eV/f.u.
* crystal system: tetragonal

The structure in POSCAR format:
```
Sr2ThSb3Pt4
1.0
-1.7848 4.1849 1.0968
-2.6124 -1.9883 3.3353
8.4412 1.6150 7.5743
Sr Th Sb Pt
2 1 3 4
Direct
0.5000 0.0000 0.2173
0.0000 0.5000 0.7827
0.5000 0.5000 0.5000
0.0000 0.0000 0.5000
0.5000 0.0000 0.8783
0.0000 0.5000 0.1217
0.5000 0.5000 0.0000
0.0000 0.0000 0.0000
0.5000 0.0000 0.6460
0.0000 0.5000 0.3540
```



# 4
Material: LiCo2Ag
Method: DFT, PBE
State: relaxed

Output
* energy relative to the elements: 0.417 eV/atom
* total moment: 0.850 μB per atom
* crystal system: tetragonal

The structure in POSCAR format:
```
LiCo2Ag
1.0
2.5686 0.0000 0.0000
0.0000 2.5686 0.0000
0.0000 0.0000 8.2950
Ag Co Li
1 2 1
Direct
0.5000 0.5000 0.7500
0.0000 0.0000 0.0074
0.0000 0.0000 0.4926
0.5000 0.5000 0.2500
```



# 5
Material: TaPd2Au2
Method: DFT, PBE
State: relaxed

Output
* energy relative to the elements: 0.072 eV/atom
* total moment: 0.000 μB per atom
* crystal system: tetragonal
* E above lowest polymorph: 378 meV per atom

The structure in POSCAR format:
```
TaPd2Au2
1.0
-1.2813 6.7146 0.7283
-3.2938 0.0259 -6.0340
-3.1951 -0.7985 1.7407
Au Pd Ta
4 4 2
Direct
0.1628 0.6628 0.5000
0.6628 0.8372 0.5000
0.8372 0.3372 0.5000
0.3372 0.1628 0.5000
0.3619 0.8619 0.0000
0.8619 0.6381 0.0000
0.6381 0.1381 0.0000
0.1381 0.3619 0.0000
0.0000 0.0000 0.0000
0.5000 0.5000 0.0000
```



# 6
Material: TlTc2Ru
Method: DFT, PBE
State: relaxed

Output
* energy relative to the elements: 0.679 eV/atom
* total moment: 0.000 μB per atom
* crystal system: orthorhombic
* E above lowest polymorph: 280 meV per atom

The structure in POSCAR format:
```
TlTc2Ru
1.0
4.9959 0.0136 -0.0043
-2.1724 4.4989 -0.0043
0.0039 0.0062 2.8841
Ru Tc Tl
1 2 1
Direct
0.0000 0.5000 0.5000
0.0000 0.0000 0.0000
0.5000 0.5000 0.0000
0.5000 0.0000 0.5000
```



Q: Which DFT total energy values were calculated for the entries above? A: -4.775; -6.832; -5.592; -4.328; -5.687; -7.415, in eV/atom.